{"formula": "ScIn2Au", "functional": "PBE", "state": "optimized geometry", "mass_density_g_cm3": 8.815, "e_form_ev_per_atom": -0.341, "volume_a3_per_cell": 88.8, "cell": [[5.2846, -0.0090, 0.0380], [4.1084, 3.3238, 0.0380], [1.1382, 0.4017, 5.0558]], "species": ["Au", "In", "In", "Sc"], "frac_coords": [[0.2450, 0.2450, 0.2732], [0.9897, 0.9897, 0.0049], [0.7517, 0.7517, 0.7475], [0.5136, 0.5136, 0.4744]]}